1.
A relaxed MgCr2Se crystal. Source: Alexandria, functional PBE.

Symmetry = P4/mmm (123)
Polymorph energy (0 for the lowest one) = 265 meV/atom
DFT total energy = -22.9 eV per cell

Structure (POSCAR):
```
MgCr2Se
1.0
4.310 0.000 0.000
0.000 4.310 0.000
0.000 0.000 3.934
Mg Cr Se
1 2 1
direct
0.000 0.000 0.000
0.000 0.500 0.500
0.500 0.000 0.500
0.500 0.500 0.000
```

=====

2.
A relaxed MgCrSe2 crystal. Source: Alexandria, functional PBE.

Symmetry = C2/m (12)
DFT total energy = -19.9 eV per cell

Structure (POSCAR):
```
MgCrSe2
1.0
3.684 -3.600 0.000
3.684 3.600 0.000
-1.911 0.000 3.801
Mg Cr Se
1 1 2
direct
0.000 0.000 0.000
0.500 0.500 0.000
0.000 0.500 0.000
0.500 0.000 0.000
```

=====

3.
A relaxed MgCr2Se crystal. Source: Alexandria, functional PBE.

Symmetry = P4mm (99)
Polymorph energy (0 for the lowest one) = 28 meV/atom
DFT total energy = -23.8 eV per cell

Structure (POSCAR):
```
MgCr2Se
1.0
3.042 0.000 0.000
0.000 3.042 0.000
0.000 0.000 7.118
Mg Cr Se
1 2 1
direct
0.000 0.000 0.000
0.000 0.000 0.582
0.500 0.500 0.744
0.500 0.500 0.383
```

=====

4.
A relaxed MgCrSe2 crystal. Source: Alexandria, functional PBE.

Symmetry = Cmmm (65)
DFT total energy = -19.9 eV per cell

Structure (POSCAR):
```
MgCrSe2
1.0
1.838 -3.839 0.000
1.838 3.839 0.000
0.000 0.000 7.189
Mg Cr Se
1 1 2
direct
0.000 0.000 0.000
0.000 0.000 0.500
0.500 0.500 0.257
0.500 0.500 0.743
```

=====

5.
A relaxed Mg2CrSe crystal. Source: Alexandria, functional PBE.

Symmetry = Imm2 (44)
DFT total energy = -16.6 eV per cell

Structure (POSCAR):
```
Mg2CrSe
1.0
-1.751 2.223 5.140
1.751 -2.223 5.140
1.751 2.223 -5.140
Mg Cr Se
2 1 1
direct
0.000 0.000 0.000
0.714 0.214 0.500
0.452 0.452 0.000
0.270 0.770 0.500
```

=====

6.
A relaxed MgCr2Se crystal. Source: Alexandria, functional PBE.

Symmetry = R-3m (166)
Polymorph energy (0 for the lowest one) = 386 meV/atom
DFT total energy = -22.4 eV per cell

Structure (POSCAR):
```
MgCr2Se
1.0
1.462 0.844 8.175
-1.462 0.844 8.175
0.000 -1.688 8.175
Mg Cr Se
1 2 1
direct
0.000 0.000 0.000
0.240 0.240 0.240
0.760 0.760 0.760
0.500 0.500 0.500
```

=====

7.
A relaxed MgCrSe2 crystal. Source: Alexandria, functional PBE.

Symmetry = P-3m1 (164)
DFT total energy = -21.0 eV per cell

Structure (POSCAR):
```
MgCrSe2
1.0
3.845 0.000 0.000
-1.923 3.330 0.000
0.000 0.000 6.292
Mg Cr Se
1 1 2
direct
0.000 0.000 0.000
0.000 0.000 0.500
0.333 0.667 0.261
0.667 0.333 0.739
```

=====

8.
A relaxed Mg2CrSe crystal. Source: Alexandria, functional PBE.

Symmetry = F-43m (216)
DFT total energy = -15.7 eV per cell

Structure (POSCAR):
```
Mg2CrSe
1.0
0.000 3.427 3.427
3.427 0.000 3.427
3.427 3.427 0.000
Mg Cr Se
2 1 1
direct
0.000 0.000 0.000
0.250 0.250 0.250
0.750 0.750 0.750
0.500 0.500 0.500
```